Below is a relaxed Zn2CrSi crystal, with properties calculated at the PBE level.

Output
**E_form (uncorrected)**: 0.15 eV/atom

abc: 2.7499 2.7499 25.3157
angles: 90.00 90.00 120.00
Space group R3m (No. 160, hexagonal axes)
Symmetry-distinct sites (fractional):
Zn (0.0000, 0.0000, 0.0000)
Zn (0.0000, 0.0000, 0.2442)
Cr (0.0000, 0.0000, 0.7499)
Si (0.0000, 0.0000, 0.4902)

***

Below is a relaxed InSiHg crystal, with properties calculated at the PBE level.

Output
**E_form (uncorrected)**: 0.18 eV/atom
**Excess energy over the best structure of this formula in the dataset**: 0.0000 eV per atom

abc: 3.531 3.531 11.397
angles: 90.00 90.00 90.00
Space group P4/nmm (No. 129, origin choice 2)
Symmetry-distinct sites (fractional):
In (0.250, 0.250, 0.218)
Si (0.250, 0.750, 0.000)
Hg (0.250, 0.250, 0.592)

***

Below is a relaxed Sm2DyRu crystal, with properties calculated at the PBE level.

Output
**Energy of formation from the pure elements**: -1.036 eV/f.u.
**Excess energy over the best structure of this formula in the dataset**: 0.0000 eV per atom

abc: 7.352 9.467 6.373
angles: 90.00 90.00 90.00
Space group Pnma (No. 62)
Symmetry-distinct sites (fractional):
Sm (0.177, 0.065, 0.170)
Dy (0.043, 0.250, 0.641)
Ru (0.115, 0.750, 0.960)

***

Below is a relaxed Pr2Mg crystal, with properties calculated at the PBE level.

Output
**Energy of formation from the pure elements**: -0.174 eV/f.u.
**Excess energy over the best structure of this formula in the dataset**: 0.0089 eV per atom

abc: 3.810 3.810 13.389
angles: 90.00 90.00 90.00
Space group I4/mmm (No. 139)
Symmetry-distinct sites (fractional):
Pr (0.000, 0.000, 0.156)
Mg (0.000, 0.000, 0.500)

***

Below is a relaxed LaTl4As crystal, with properties calculated at the PBE level.

Output
**Energy of formation from the pure elements**: 0.391 eV/f.u.

abc: 8.904 8.904 8.904
angles: 90.00 90.00 90.00
Space group F-43m (No. 216)
Symmetry-distinct sites (fractional):
La (0.000, 0.000, 0.000)
Tl (0.125, 0.125, 0.625)
As (0.250, 0.250, 0.250)

***

Below is a relaxed TbCe3Sb2 crystal, with properties calculated at the PBE level.

Output
**E_form (uncorrected)**: -0.65 eV/atom

abc: 18.359 4.134 9.498
angles: 90.00 111.71 90.00
Space group C2/m (No. 12)
Symmetry-distinct sites (fractional):
Tb (0.101, 0.000, 0.115)
Ce (0.070, 0.000, 0.617)
Ce (0.133, 0.500, 0.490)
Ce (0.204, 0.500, 0.924)
Sb (0.020, 0.500, 0.830)
Sb (0.237, 0.500, 0.280)

***

What did the second record say?
Below is a relaxed InSiHg crystal, with properties calculated at the PBE level.

Output
**E_form (uncorrected)**: 0.18 eV/atom
**Excess energy over the best structure of this formula in the dataset**: 0.0000 eV per atom

abc: 3.531 3.531 11.397
angles: 90.00 90.00 90.00
Space group P4/nmm (No. 129, origin choice 2)
Symmetry-distinct sites (fractional):
In (0.250, 0.250, 0.218)
Si (0.250, 0.750, 0.000)
Hg (0.250, 0.250, 0.592)